Arrangement a

Here is EuYN after structural relaxation from the Alexandria database. Energies are from PBE.

a b c (Å): 3.348 3.348 7.300
angles (deg): 103.26 103.26 90.00
Each line ends with the local moment (μB).
Sites, in units of the cell vectors:
Eu: 0.959 0.959 0.919  7.05
Y: 0.255 0.255 0.510  0.09
N: 0.786 0.786 0.572  -0.01

=====

Arrangement b

Here is EuYN after structural relaxation from the Alexandria database. Energies are from PBE.

a b c (Å): 3.583 3.583 6.323
angles (deg): 90.00 90.00 120.00
Each line ends with the local moment (μB).
Sites, in units of the cell vectors:
Y: 0.333 0.667 0.538  0.18
Eu: 0.000 0.000 0.102  6.91
N: 0.667 0.333 0.360  -0.08

=====

The structures above, arranged from the most stable to the least stable: arrangement b, arrangement a.